Entry 1:
5
Lattice="1.5114 5.0755 2.2201 -0.0161 0.8456 5.6796 4.8650 0.6084 2.8918" Properties=species:S:1:pos:R:3 comment="K2AuN2, relaxed, DFT PBE" spacegroup="C2/m (12)" m_tot_mub_per_atom=0.206 dos_at_fermi_per_ev_cell=3.595 pbc="T T T"
K 2.3094 4.1694 3.7910
K 4.0509 2.3601 7.0005
Au 0.7557 2.5377 1.1100
N 4.4923 5.6230 6.5321
N 1.8680 0.9065 4.2594

---

Entry 2:
18
Lattice="8.5034 0.0000 0.0000 0.0000 8.6689 0.0000 0.0000 -4.3345 8.1705" Properties=species:S:1:pos:R:3 comment="La5Tl2I2, relaxed, DFT PBE" spacegroup="Cmce (64)" m_tot_mub_per_atom=0.000 dos_at_fermi_per_ev_cell=21.783 pbc="T T T"
La 0.0000 0.0000 0.0000
La 4.2517 4.3345 0.0000
La 7.1156 5.8151 2.2602
La 1.3879 2.8538 2.2602
La 2.8638 7.1883 2.2602
La 5.6396 1.4807 2.2602
La 1.3879 -1.4807 5.9104
La 7.1156 1.4807 5.9104
La 5.6396 -2.8538 5.9104
La 2.8638 2.8538 5.9104
Tl 5.3355 7.5429 0.0000
Tl 3.1680 1.1260 0.0000
Tl 1.0837 5.4605 0.0000
Tl 7.4197 3.2084 0.0000
I 0.0000 0.0000 3.2414
I 4.2517 4.3345 3.2414
I 0.0000 4.3345 4.9291
I 4.2517 0.0000 4.9291

---

Entry 3:
12
Lattice="4.3698 0.0000 0.0000 0.0000 8.8903 0.2476 -2.1849 -2.6343 9.2730" Properties=species:S:1:pos:R:3 comment="Pm3YHo2Te6, relaxed, DFT PBE" spacegroup="C2/m (12)" m_tot_mub_per_atom=0.000 dos_at_fermi_per_ev_cell=6.154 pbc="T T T"
Pm 2.1849 4.4451 0.1238
Pm 2.1849 -0.2732 6.2428
Pm 0.0000 6.5291 3.2777
Y 2.1849 0.0000 0.0000
Ho 2.1849 4.1799 6.3581
Ho 0.0000 2.0760 3.1625
Te 0.0000 6.3297 6.4338
Te 2.1849 4.2330 3.2857
Te 2.1849 -0.0738 3.0868
Te 0.0000 2.1683 0.1126
Te 2.1849 4.0877 9.4079
Te 0.0000 2.0229 6.2349

---

Entry 4:
5
Lattice="-2.0914 0.0582 4.6408 0.3450 -4.7233 0.2147 4.6263 0.4325 2.0794" Properties=species:S:1:pos:R:3 comment="PAuSe2Cl, relaxed, DFT PBE" spacegroup="P4/mmm (123)" m_tot_mub_per_atom=0.000 dos_at_fermi_per_ev_cell=3.305 pbc="T T T"
P 1.4400 -2.1163 3.4675
Au 0.1725 -2.3616 0.1074
Se 2.3132 0.2162 1.0397
Se -1.0457 0.0291 2.3204
Cl 0.0000 0.0000 0.0000

---

Entry 5:
24
Lattice="-0.9031 3.4731 3.3426 3.1302 -4.8513 5.8863 7.4752 3.2174 -1.3234" Properties=species:S:1:pos:R:3 comment="PmNi9Sn2, relaxed, DFT PBE" formation_energy_ev_per_fu=-2.86 spacegroup="P4/mbm (127)" m_tot_mub_per_atom=0.000 dos_at_fermi_per_ev_cell=35.441 pbc="T T T"
Pm 5.3027 -0.8169 2.2815
Pm 0.0000 0.0000 0.0000
Ni 1.1135 -0.6891 4.6145
Ni 3.2861 3.3452 1.0096
Ni 5.9961 0.1303 5.0822
Ni 3.7062 1.7089 2.8234
Ni 7.1736 3.7364 1.6535
Ni 2.5287 -1.8972 6.2521
Ni 6.1889 1.9079 3.2873
Ni 3.5134 -0.0687 4.6182
Ni 1.3029 2.0791 1.7893
Ni 8.3994 -0.2399 6.1162
Ni 4.3478 -0.3419 6.9522
Ni 4.8964 3.9427 2.6487
Ni 1.6381 1.5911 4.2117
Ni 7.6061 2.0097 5.3892
Ni 5.3544 2.1811 0.9533
Ni 4.8059 -2.1035 5.2569
Ni 8.0642 0.2481 3.6938
Ni 2.0961 -0.1705 2.5163
Sn 2.9196 -2.6343 3.5259
Sn 7.6857 1.0005 1.0370
Sn 3.1826 0.5782 0.2591
Sn 7.4227 -2.2120 4.3038

---

Entry 6:
4
Lattice="-2.5284 3.6219 0.4303 1.7226 -2.1384 5.2720 2.6213 1.7376 0.8521" Properties=species:S:1:pos:R:3 comment="Ag2TeRu, relaxed, DFT PBE" spacegroup="C2/m (12)" m_tot_mub_per_atom=0.003 dos_at_fermi_per_ev_cell=3.876 pbc="T T T"
Ag 0.0000 0.0000 0.0000
Ag 0.0465 2.6797 0.6412
Ru 2.1719 -0.2004 3.0621
Te -0.4029 0.7417 2.8511

---

Entry 7:
5
Lattice="5.6242 0.0000 0.0000 0.0000 5.6242 0.0000 0.0000 0.0000 5.6242" Properties=species:S:1:pos:R:3 comment="Ca3PdBr, relaxed, DFT PBE" spacegroup="Pm-3m (221)" m_tot_mub_per_atom=0.000 dos_at_fermi_per_ev_cell=2.075 pbc="T T T"
Ca 0.0000 2.8121 0.0000
Ca 0.0000 0.0000 2.8121
Ca 2.8121 0.0000 0.0000
Br 2.8121 2.8121 2.8121
Pd 0.0000 0.0000 0.0000

---

Entry 8:
12
Lattice="-0.8114 -3.3792 4.8159 8.5785 -8.1454 -0.6083 3.3591 1.9243 5.5780" Properties=species:S:1:pos:R:3 comment="Nd4SmY7, relaxed, DFT PBE" formation_energy_ev_per_fu=3.13 spacegroup="C2/m (12)" m_tot_mub_per_atom=0.008 dos_at_fermi_per_ev_cell=21.513 pbc="T T T"
Nd 3.0723 -3.0185 5.7232
Nd 8.0541 -6.5818 4.0623
Nd 7.6859 -6.5606 7.6770
Nd 3.4404 -3.0398 2.1085
Sm 0.0000 0.0000 0.0000
Y 8.9492 -9.2250 6.0202
Y 2.1772 -0.3753 3.7653
Y 6.4272 -5.5161 0.8741
Y 4.6991 -4.0843 8.9114
Y 6.5375 -3.7906 5.7653
Y -0.4057 -1.6896 2.4079
Y 4.5889 -5.8097 4.0203

---

Entry 9:
13
Lattice="-0.5953 -2.7510 -7.3451 4.8331 -5.6925 -2.4715 -3.0365 -7.5124 -1.1520" Properties=species:S:1:pos:R:3 comment="SrAg4Cl8, relaxed, DFT PBE" spacegroup="R-3m (166)" m_tot_mub_per_atom=0.154 dos_at_fermi_per_ev_cell=23.364 pbc="T T T"
Sr 0.6006 -7.9780 -5.4843
Ag 2.4166 -2.8463 -1.2358
Ag 2.1189 -4.2218 -4.9083
Ag -0.2977 -1.3755 -3.6725
Ag 0.0000 0.0000 0.0000
Cl -1.6097 -9.2226 -6.9399
Cl 0.1032 -5.2660 -6.4597
Cl 2.8110 -6.7333 -4.0287
Cl 2.5140 -8.1056 -7.6926
Cl 0.5956 -12.2895 -8.0809
Cl 0.6057 -3.6665 -2.8877
Cl -1.3128 -7.8504 -3.2760
Cl 1.0981 -10.6900 -4.5089

---

Entry 10:
8
Lattice="12.7948 0.0000 0.0000 0.0000 12.7948 0.0000 6.3974 6.3974 2.1489" Properties=species:S:1:pos:R:3 comment="Rb2BW, relaxed, DFT PBE" formation_energy_ev_per_fu=5.61 spacegroup="I-42d (122)" m_tot_mub_per_atom=0.750 dos_at_fermi_per_ev_cell=3.600 pbc="T T T"
B 6.3974 6.3974 0.0000
B 6.3974 12.7948 1.0745
Rb 6.9894 3.1987 0.5372
Rb 5.8054 9.5961 0.5372
Rb 9.5961 12.2028 1.6117
Rb 15.9935 13.3868 1.6117
W 0.0000 0.0000 0.0000
W 12.7948 6.3974 1.0745

---

Entry 11:
4
Lattice="-1.7571 -0.8431 -2.8600 -0.9454 -0.7372 3.2466 -6.1718 10.7101 0.6345" Properties=species:S:1:pos:R:3 comment="AlSbCl2, relaxed, DFT PBE" spacegroup="Cmmm (65)" m_tot_mub_per_atom=0.248 dos_at_fermi_per_ev_cell=2.333 pbc="T T T"
Sb -2.8942 1.8874 0.3519
Al -5.9801 7.2424 0.6692
Cl -5.4989 9.5423 0.5653
Cl -3.7589 6.5228 0.3864

---

Entry 12:
5
Lattice="-0.0304 0.3545 4.4951 -3.7242 -2.9296 0.2058 2.7920 -3.5284 0.2971" Properties=species:S:1:pos:R:3 comment="TaAlGeP2, relaxed, DFT PBE" formation_energy_ev_per_fu=5.40 spacegroup="P4/mmm (123)" m_tot_mub_per_atom=0.000 dos_at_fermi_per_ev_cell=5.158 pbc="T T T"
P 1.3960 -1.7642 0.1486
P -0.0152 0.1772 2.2476
Ge -1.8621 -1.4648 0.1029
Al 0.0000 0.0000 0.0000
Ta -0.4813 -3.0518 2.4990

---

Per-record VASP energy, eV per atom: -4.550 -4.245 -5.401 -2.256 -5.637 -4.110 -3.189 -5.492 -2.955 -3.989 -3.202 -5.126